La4Br2N GGA-PBE relaxed; space-group type = I4/mmm
1.0
5.291 0.000 0.000
0.000 5.291 0.000
2.646 2.646 7.228
N Br La
1 2 4
direct
0.000 0.000 0.000 N
0.617 0.617 0.766 Br
0.383 0.383 0.234 Br
0.834 0.834 0.333 La
0.166 0.166 0.667 La
0.000 0.500 0.000 La
0.500 0.000 0.000 La

---

La4BrN2 GGA-PBE relaxed; polymorph energy (0 for the lowest one) = 0 meV per atom; space-group type = R-3m
1.0
3.702 0.000 0.538
1.812 3.229 0.538
-0.214 -0.126 14.484
La Br N
4 1 2
direct
0.121 0.121 0.637 La
0.277 0.277 0.169 La
0.723 0.723 0.831 La
0.879 0.879 0.363 La
0.000 0.000 0.000 Br
0.422 0.422 0.734 N
0.578 0.578 0.266 N

---

LaBrN2 GGA-PBE relaxed; polymorph energy (0 for the lowest one) = 497 meV per atom; space-group type = I-42d
1.0
4.891 0.000 0.000
0.000 4.891 0.000
2.446 2.446 6.532
N Br La
4 2 2
direct
0.596 0.125 0.250 N
0.154 0.625 0.250 N
0.375 0.404 0.750 N
0.875 0.846 0.750 N
0.500 0.500 0.000 Br
0.250 0.750 0.500 Br
0.000 0.000 0.000 La
0.750 0.250 0.500 La

---

LaBr3N2 GGA-PBE relaxed; space-group type = Cmcm
1.0
5.624 0.000 1.788
0.000 8.900 0.000
0.099 -0.001 9.407
La Br N
2 6 4
direct
0.999 0.750 0.000 La
0.001 0.250 0.000 La
0.501 0.250 0.000 Br
0.499 0.750 0.000 Br
0.109 0.000 0.781 Br
0.891 0.500 0.219 Br
0.109 0.500 0.781 Br
0.891 0.000 0.219 Br
0.692 0.750 0.615 N
0.693 0.250 0.615 N
0.307 0.750 0.385 N
0.308 0.250 0.385 N

---

LaBrN2 GGA-PBE relaxed; polymorph energy (0 for the lowest one) = 0 meV per atom; space-group type = R-3m
1.0
2.921 4.499 3.728
5.102 4.062 0.380
1.753 6.285 0.322
N Br La
2 1 1
direct
0.887 0.887 0.887 N
0.113 0.113 0.113 N
0.000 0.000 0.000 Br
0.500 0.500 0.500 La

---

La2Br2N GGA-PBE relaxed; space-group type = P4/mbm
1.0
8.250 0.000 0.000
0.000 8.250 0.000
0.000 0.000 3.675
N Br La
2 4 4
direct
0.000 0.000 0.000 N
0.500 0.500 0.000 N
0.372 0.872 0.000 Br
0.872 0.628 0.000 Br
0.628 0.128 0.000 Br
0.128 0.372 0.000 Br
0.176 0.676 0.500 La
0.676 0.824 0.500 La
0.824 0.324 0.500 La
0.324 0.176 0.500 La

---

Calculated values (eV per formula unit) of E_tot for the records, taken in order: -37.80; -46.56; -20.85; -24.05; -22.84; -23.18.
Calculated values (meV/atom) of formation energy from raw total energies for the records, taken in order: -917; -1218; 599; 425; 102; -331.